# 1
Entry from the Alexandria database: a relaxed MnCoTe crystal (PBE-GGA). Values from VASP.

Structure (Quantum ESPRESSO input):
```
&SYSTEM
  ibrav = 0, nat = 6, ntyp = 3
/
ATOMIC_SPECIES
Mn 54.94 Mn.upf
Te 127.60 Te.upf
Co 58.93 Co.upf
ATOMIC_POSITIONS angstrom
Mn 0.689 2.833 5.000
Te 0.431 2.874 1.757
Co 2.333 3.239 3.415
Co -0.671 0.644 5.147
Mn 0.973 1.050 3.562
Te 1.230 1.009 6.806
CELL_PARAMETERS angstrom
3.517 0.776 -0.270
-0.786 3.602 0.108
-1.069 -0.494 8.725
```

Properties
Its density is 6.99 Mg/m³. Its formation energy without anion corrections is -12 kJ/mol of formula units. The calculated total energy is -6.52 eV per atom.

***

# 2
Entry from the Alexandria database: a relaxed MnCoTe2 crystal (PBE-GGA). Values from VASP.

Structure (Quantum ESPRESSO input):
```
&SYSTEM
  ibrav = 0, nat = 4, ntyp = 3
/
ATOMIC_SPECIES
Te 127.60 Te.upf
Co 58.93 Co.upf
Mn 54.94 Mn.upf
ATOMIC_POSITIONS angstrom
Te 7.147 3.378 0.729
Te 6.392 3.021 4.034
Co 4.299 2.032 2.787
Mn 2.237 1.057 2.056
CELL_PARAMETERS angstrom
4.235 0.028 -0.037
2.710 3.254 -0.037
1.809 0.855 6.527
```

Properties
Its density is 6.83 Mg/m³. Its formation energy without anion corrections is -6 kJ/mol of formula units. The calculated total energy is -5.65 eV per atom.

***

# 3
Entry from the Alexandria database: a relaxed Mn2CoTe crystal (PBE-GGA). Values from VASP.

Structure (Quantum ESPRESSO input):
```
&SYSTEM
  ibrav = 0, nat = 8, ntyp = 3
/
ATOMIC_SPECIES
Mn 54.94 Mn.upf
Te 127.60 Te.upf
Co 58.93 Co.upf
ATOMIC_POSITIONS angstrom
Mn 2.420 0.904 2.221
Mn 2.712 3.004 6.663
Te 0.000 0.000 0.000
Mn 4.520 4.228 6.663
Te 3.616 1.808 4.442
Co 1.808 3.616 4.442
Mn 1.196 2.712 2.221
Co 1.808 1.808 0.000
CELL_PARAMETERS angstrom
3.616 0.000 0.000
0.000 3.616 0.000
1.808 1.808 8.884
```

Properties
Its density is 8.48 Mg/m³. Its formation energy without anion corrections is 232 kJ/mol of formula units. The calculated total energy is -6.55 eV per atom.

***

# 4
Entry from the Alexandria database: a relaxed MnCo2Te crystal (PBE-GGA). Values from VASP.

Structure (Quantum ESPRESSO input):
```
&SYSTEM
  ibrav = 0, nat = 4, ntyp = 3
/
ATOMIC_SPECIES
Co 58.93 Co.upf
Te 127.60 Te.upf
Mn 54.94 Mn.upf
ATOMIC_POSITIONS angstrom
Co -10.534 2.742 -3.252
Te -15.715 4.090 -4.851
Mn -5.238 1.363 -1.617
Co -20.897 5.439 -6.450
CELL_PARAMETERS angstrom
-6.338 3.152 -3.126
-7.180 0.211 -2.877
-7.436 2.090 -0.464
```

Properties
Its density is 8.12 Mg/m³. Its formation energy without anion corrections is 196 kJ/mol of formula units. The calculated total energy is -6.12 eV per atom.

***

# 5
Entry from the Alexandria database: a relaxed MnCo2Te4 crystal (PBE-GGA). Values from VASP.

Structure (Quantum ESPRESSO input):
```
&SYSTEM
  ibrav = 0, nat = 7, ntyp = 3
/
ATOMIC_SPECIES
Te 127.60 Te.upf
Co 58.93 Co.upf
Mn 54.94 Mn.upf
ATOMIC_POSITIONS angstrom
Te 1.825 1.533 1.349
Te -0.005 1.550 5.530
Co 0.001 2.657 -0.093
Te -0.007 4.455 4.100
Te 1.823 4.438 -0.081
Mn 0.000 0.000 0.000
Co 1.817 3.331 5.542
CELL_PARAMETERS angstrom
3.645 -0.001 -0.005
-1.824 5.951 -2.380
-0.003 0.038 7.834
```

Properties
Its density is 6.66 Mg/m³. Its formation energy without anion corrections is -103 kJ/mol of formula units. The calculated total energy is -5.29 eV per atom.

***

# 6
Entry from the Alexandria database: a relaxed MnCoTe2 crystal (PBE-GGA). Values from VASP.

Structure (Quantum ESPRESSO input):
```
&SYSTEM
  ibrav = 0, nat = 4, ntyp = 3
/
ATOMIC_SPECIES
Te 127.60 Te.upf
Co 58.93 Co.upf
Mn 54.94 Mn.upf
ATOMIC_POSITIONS angstrom
Te 0.000 0.000 0.000
Co 2.336 -0.003 1.674
Mn 0.005 2.336 1.674
Te 2.341 2.333 0.000
CELL_PARAMETERS angstrom
4.672 -0.006 0.000
0.010 4.672 0.000
0.000 0.000 3.347
```

Properties
Its density is 8.39 Mg/m³. Its formation energy without anion corrections is 130 kJ/mol of formula units. The calculated total energy is -5.30 eV per atom.

***

Repeat the fourth record exactly.
Entry from the Alexandria database: a relaxed MnCo2Te crystal (PBE-GGA). Values from VASP.

Structure (Quantum ESPRESSO input):
```
&SYSTEM
  ibrav = 0, nat = 4, ntyp = 3
/
ATOMIC_SPECIES
Co 58.93 Co.upf
Te 127.60 Te.upf
Mn 54.94 Mn.upf
ATOMIC_POSITIONS angstrom
Co -10.534 2.742 -3.252
Te -15.715 4.090 -4.851
Mn -5.238 1.363 -1.617
Co -20.897 5.439 -6.450
CELL_PARAMETERS angstrom
-6.338 3.152 -3.126
-7.180 0.211 -2.877
-7.436 2.090 -0.464
```

Properties
Its density is 8.12 Mg/m³. Its formation energy without anion corrections is 196 kJ/mol of formula units. The calculated total energy is -6.12 eV per atom.

***

Question: Number 3 is which compound?
Answer: Mn2CoTe